# 1
Computed, not measured: a crystal of Mg6Ni16Ge7 relaxed with PBEsol at the SCAN level of DFT.

**Energy relative to the elements**: -0.428 eV/atom
**DOS(E_F)**: 0.647 states/eV/atom
**Symmetry**: Fm-3m
**Total DFT energy (no corrections)**: -14.9874 eV/atom

Lattice parameters (Å, degrees): 8.052 8.052 8.052 60.00 60.00 60.00
Positions (direct):
Mg1 0.204 0.204 0.796
Mg2 0.204 0.796 0.204
Mg3 0.204 0.796 0.796
Mg4 0.796 0.204 0.204
Mg5 0.796 0.204 0.796
Mg6 0.796 0.796 0.204
Ni1 0.145 0.618 0.618
Ni2 0.169 0.169 0.169
Ni3 0.169 0.169 0.492
Ni4 0.169 0.492 0.169
Ni5 0.382 0.382 0.382
Ni6 0.382 0.382 0.855
Ni7 0.382 0.855 0.382
Ni8 0.492 0.169 0.169
Ni9 0.508 0.831 0.831
Ni10 0.618 0.145 0.618
Ni11 0.618 0.618 0.145
Ni12 0.618 0.618 0.618
Ni13 0.831 0.508 0.831
Ni14 0.831 0.831 0.508
Ni15 0.831 0.831 0.831
Ni16 0.855 0.382 0.382
Ge1 0.000 0.000 0.500
Ge2 0.000 0.500 0.000
Ge3 0.000 0.500 0.500
Ge4 0.500 0.000 0.000
Ge5 0.500 0.000 0.500
Ge6 0.500 0.500 0.000
Ge7 0.500 0.500 0.500

***

# 2
Computed, not measured: a crystal of Li2YZr relaxed with PBEsol at the SCAN level of DFT.

**Energy relative to the elements**: 0.321 eV/atom
**DOS(E_F)**: 0.728 states/eV/atom
**Symmetry**: Pmmm
**Energy above the lowest structure with this stoichiometry**: 0.000 eV/f.u.
**Total DFT energy (no corrections)**: -15.5095 eV/atom

Lattice parameters (Å, degrees): 3.359 5.101 5.276 90.00 90.00 90.00
Positions (direct):
Li1 0.000 0.000 0.000
Li2 0.500 0.500 0.000
Y1 0.000 0.500 0.500
Zr1 0.500 0.000 0.500

***

# 3
Computed, not measured: a crystal of CaIrRh2 relaxed with PBEsol at the SCAN level of DFT.

**Energy relative to the elements**: 0.067 eV/atom
**DOS(E_F)**: 0.656 states/eV/atom
**Symmetry**: P2/m
**Energy above the lowest structure with this stoichiometry**: 0.189 eV/f.u.
**Total DFT energy (no corrections)**: -37.0098 eV/atom

Lattice parameters (Å, degrees): 2.774 4.544 5.211 90.00 100.77 90.00
Positions (direct):
Ca1 0.000 0.000 0.000
Ir1 0.500 0.000 0.500
Rh1 0.333 0.500 0.715
Rh2 0.667 0.500 0.285